No. 1
DFT (PBE-GGA) results for a geometry-optimized Li2HgI4 structure.

Formation energy (no corrections) in meV/atom: -813.7
Excess energy over the best structure of this formula in the dataset in kJ/mol of atoms: 0.0
SG: P-42m, No. 111

a b c (Å): 6.5146 6.5146 6.2894
angles (deg): 90.00 90.00 90.00
Element x y z (fractional)
Li 0.0000 0.5000 0.0000
Li 0.5000 0.0000 0.0000
Hg 0.0000 0.0000 0.5000
I 0.2601 0.2601 0.7511
I 0.2601 0.7399 0.2489
I 0.7399 0.2601 0.2489
I 0.7399 0.7399 0.7511



No. 2
DFT (PBE-GGA) results for a geometry-optimized Li2HgI4 structure.

Formation energy (no corrections) in meV/atom: -546.4
Excess energy over the best structure of this formula in the dataset in kJ/mol of atoms: 25.8
SG: I4/mmm, No. 139

a b c (Å): 6.0770 6.0770 14.6432
angles (deg): 90.00 90.00 90.00
Element x y z (fractional)
Li 0.0000 0.0000 0.1194
Li 0.0000 0.0000 0.8806
Li 0.5000 0.5000 0.3806
Li 0.5000 0.5000 0.6194
Hg 0.0000 0.0000 0.5000
Hg 0.5000 0.5000 0.0000
I 0.0000 0.0000 0.3004
I 0.0000 0.0000 0.6996
I 0.0000 0.5000 0.0000
I 0.0000 0.5000 0.5000
I 0.5000 0.0000 0.0000
I 0.5000 0.0000 0.5000
I 0.5000 0.5000 0.1996
I 0.5000 0.5000 0.8004



No. 3
DFT (PBE-GGA) results for a geometry-optimized LiHgI2 structure.

Formation energy (no corrections) in meV/atom: -398.3
Excess energy over the best structure of this formula in the dataset in kJ/mol of atoms: 15.8
SG: P4/mmm, No. 123

a b c (Å): 5.5832 5.5832 3.9643
angles (deg): 90.00 90.00 90.00
Element x y z (fractional)
Li 0.0000 0.0000 0.0000
Hg 0.5000 0.5000 0.0000
I 0.0000 0.5000 0.5000
I 0.5000 0.0000 0.5000



No. 4
DFT (PBE-GGA) results for a geometry-optimized LiHgI2 structure.

Formation energy (no corrections) in meV/atom: -516.4
Excess energy over the best structure of this formula in the dataset in kJ/mol of atoms: 4.4
SG: R-3m, No. 166

a b c (Å): 4.3982 4.3982 27.3412
angles (deg): 90.00 90.00 120.00
Element x y z (fractional)
Li 0.0000 0.0000 0.0000
Li 0.3333 0.6667 0.6667
Li 0.6667 0.3333 0.3333
Hg 0.0000 0.0000 0.5000
Hg 0.3333 0.6667 0.1667
Hg 0.6667 0.3333 0.8333
I 0.0000 0.0000 0.3899
I 0.0000 0.0000 0.6101
I 0.3333 0.6667 0.0566
I 0.3333 0.6667 0.2767
I 0.6667 0.3333 0.7233
I 0.6667 0.3333 0.9434



No. 5
DFT (PBE-GGA) results for a geometry-optimized Li4Hg2I structure.

Formation energy (no corrections) in meV/atom: -239.8
SG: I4/mmm, No. 139

a b c (Å): 5.1932 5.1932 14.3801
angles (deg): 90.00 90.00 90.00
Element x y z (fractional)
Li 0.0000 0.0000 0.1990
Li 0.0000 0.0000 0.8010
Li 0.0000 0.5000 0.0000
Li 0.0000 0.5000 0.5000
Li 0.5000 0.0000 0.0000
Li 0.5000 0.0000 0.5000
Li 0.5000 0.5000 0.3010
Li 0.5000 0.5000 0.6990
Hg 0.0000 0.0000 0.3844
Hg 0.0000 0.0000 0.6156
Hg 0.5000 0.5000 0.1156
Hg 0.5000 0.5000 0.8844
I 0.0000 0.0000 0.0000
I 0.5000 0.5000 0.5000



No. 6
DFT (PBE-GGA) results for a geometry-optimized Li6HgI8 structure.

Formation energy (no corrections) in meV/atom: -983.6
SG: R-3, No. 148

a b c (Å): 8.2518 8.2518 8.2518
angles (deg): 88.54 88.54 88.54
Element x y z (fractional)
Li 0.1640 0.4427 0.6356
Li 0.3644 0.8360 0.5573
Li 0.4427 0.6356 0.1640
Li 0.5573 0.3644 0.8360
Li 0.6356 0.1640 0.4427
Li 0.8360 0.5573 0.3644
Hg 0.0000 0.0000 0.0000
I 0.1622 0.6530 0.3622
I 0.1784 0.1784 0.1784
I 0.3470 0.6378 0.8378
I 0.3622 0.1622 0.6530
I 0.6378 0.8378 0.3470
I 0.6530 0.3622 0.1622
I 0.8216 0.8216 0.8216
I 0.8378 0.3470 0.6378



No. 7
DFT (PBE-GGA) results for a geometry-optimized LiHg2I structure.

Formation energy (no corrections) in meV/atom: -245.3
Excess energy over the best structure of this formula in the dataset in kJ/mol of atoms: 29.8
SG: P4/mmm, No. 123

a b c (Å): 3.9391 3.9391 7.5308
angles (deg): 90.00 90.00 90.00
Element x y z (fractional)
Li 0.0000 0.0000 0.0000
Hg 0.5000 0.5000 0.2298
Hg 0.5000 0.5000 0.7702
I 0.0000 0.0000 0.5000



No. 8
DFT (PBE-GGA) results for a geometry-optimized Li2HgI4 structure.

Formation energy (no corrections) in meV/atom: -751.1
Excess energy over the best structure of this formula in the dataset in kJ/mol of atoms: 6.0
SG: C2/m, No. 12

a b c (Å): 15.0632 4.6025 7.3816
angles (deg): 90.00 107.54 90.00
Element x y z (fractional)
Li 0.2487 0.0000 0.2212
Li 0.2513 0.5000 0.7788
Li 0.7487 0.5000 0.2212
Li 0.7513 0.0000 0.7788
Hg 0.0000 0.5000 0.5000
Hg 0.5000 0.0000 0.5000
I 0.1338 0.5000 0.3243
I 0.1432 0.0000 0.8219
I 0.3568 0.5000 0.1781
I 0.3662 0.0000 0.6757
I 0.6338 0.0000 0.3243
I 0.6432 0.5000 0.8219
I 0.8568 0.0000 0.1781
I 0.8662 0.5000 0.6757



No. 9
DFT (PBE-GGA) results for a geometry-optimized Li2HgI2 structure.

Formation energy (no corrections) in meV/atom: -925.2
SG: I4/mmm, No. 139

a b c (Å): 4.7520 4.7520 17.0905
angles (deg): 90.00 90.00 90.00
Element x y z (fractional)
Li 0.0000 0.5000 0.2500
Li 0.0000 0.5000 0.7500
Li 0.5000 0.0000 0.2500
Li 0.5000 0.0000 0.7500
Hg 0.0000 0.0000 0.0000
Hg 0.5000 0.5000 0.5000
I 0.0000 0.0000 0.3351
I 0.0000 0.0000 0.6649
I 0.5000 0.5000 0.1649
I 0.5000 0.5000 0.8351



No. 10
DFT (PBE-GGA) results for a geometry-optimized LiHgI2 structure.

Formation energy (no corrections) in meV/atom: -562.3
Excess energy over the best structure of this formula in the dataset in kJ/mol of atoms: 0.0
SG: I-42d, No. 122

a b c (Å): 6.8197 6.8197 13.9759
angles (deg): 90.00 90.00 90.00
Element x y z (fractional)
Li 0.0000 0.0000 0.0000
Li 0.0000 0.5000 0.2500
Li 0.5000 0.0000 0.7500
Li 0.5000 0.5000 0.5000
Hg 0.0000 0.0000 0.5000
Hg 0.0000 0.5000 0.7500
Hg 0.5000 0.0000 0.2500
Hg 0.5000 0.5000 0.0000
I 0.2036 0.2500 0.1250
I 0.2500 0.7036 0.3750
I 0.2500 0.7964 0.8750
I 0.2964 0.2500 0.6250
I 0.7036 0.7500 0.6250
I 0.7500 0.2036 0.8750
I 0.7500 0.2964 0.3750
I 0.7964 0.7500 0.1250



No. 11
DFT (PBE-GGA) results for a geometry-optimized Li4HgI2 structure.

Formation energy (no corrections) in meV/atom: -435.2
SG: I4/mmm, No. 139

a b c (Å): 5.3260 5.3260 14.7317
angles (deg): 90.00 90.00 90.00
Element x y z (fractional)
Li 0.0000 0.0000 0.1845
Li 0.0000 0.0000 0.8155
Li 0.0000 0.5000 0.0000
Li 0.0000 0.5000 0.5000
Li 0.5000 0.0000 0.0000
Li 0.5000 0.0000 0.5000
Li 0.5000 0.5000 0.3155
Li 0.5000 0.5000 0.6845
Hg 0.0000 0.0000 0.0000
Hg 0.5000 0.5000 0.5000
I 0.0000 0.0000 0.3675
I 0.0000 0.0000 0.6325
I 0.5000 0.5000 0.1325
I 0.5000 0.5000 0.8675



No. 12
DFT (PBE-GGA) results for a geometry-optimized LiHg2I structure.

Formation energy (no corrections) in meV/atom: -177.4
Excess energy over the best structure of this formula in the dataset in kJ/mol of atoms: 36.4
SG: Fm-3m, No. 225

a b c (Å): 8.0978 8.0978 8.0978
angles (deg): 90.00 90.00 90.00
Element x y z (fractional)
Li 0.0000 0.0000 0.0000
Li 0.0000 0.5000 0.5000
Li 0.5000 0.0000 0.5000
Li 0.5000 0.5000 0.0000
Hg 0.2500 0.2500 0.2500
Hg 0.2500 0.2500 0.7500
Hg 0.2500 0.7500 0.2500
Hg 0.2500 0.7500 0.7500
Hg 0.7500 0.2500 0.2500
Hg 0.7500 0.2500 0.7500
Hg 0.7500 0.7500 0.2500
Hg 0.7500 0.7500 0.7500
I 0.0000 0.0000 0.5000
I 0.0000 0.5000 0.0000
I 0.5000 0.0000 0.0000
I 0.5000 0.5000 0.5000